Crystalline ScPbS2Cl at its relaxed geometry. Source: the Alexandria database, functional GGA-PBEsol.

a = 5.1426 Å, b = 5.1426 Å, c = 5.1283 Å
α = 90.00°, β = 90.00°, γ = 90.00°
Last column: nearest neighbours and their distance in Å.
Fractional coordinates of all 5 atoms:
1 Sc 0.0000 0.0000 0.0000  8 S 3.63, 4 Cl 3.64
2 Pb 0.5000 0.5000 0.5000  2 Cl 2.56, 4 S 2.57
3 S 0.0000 0.5000 0.5000  2 Pb 2.57
4 S 0.5000 0.0000 0.5000  2 Pb 2.57
5 Cl 0.5000 0.5000 0.0000  2 Pb 2.56

Computed properties:
Final energy   -4.345 eV/atom
SG   P4/mmm, No. 123
Formation energy without anion corrections   -69 meV/atom